## Al3Ag5 (meta-GGA SCAN)

Data for a crystal of Al3Ag5 relaxed with PBEsol.

Formation energy (meV per atom): -101
ΔE to the lowest computed polymorph (kJ per mole of atoms): 1.15

a b c (Å): 4.9140 5.0344 5.5975
angles (deg): 71.29 88.98 78.74
Closest atoms and distances in Å follow each position.
Space group P-1 (No. 2)
Symmetry-distinct sites (fractional):
Al  0.0000  0.0000  0.0000 [1 per cell]  8 Ag 2.69-2.88, 4 Al 2.88-2.91
Al  0.2468  0.4998  0.8594 [2 per cell]  8 Ag 2.73-2.86, 4 Al 2.87-2.97
Ag  0.0000  0.0000  0.5000 [1 per cell]  4 Al 2.74-2.80, 8 Ag 2.82-2.96
Ag  0.2496  0.5150  0.3556 [2 per cell]  5 Al 2.69-2.80, 7 Ag 2.85-2.96
Ag  0.4918  0.9844  0.7602 [2 per cell]  7 Ag 2.74-2.94, 5 Al 2.74-2.88